PBE Pm6Pr2NdMg, relaxed; total DFT energy (no corrections) = -86.7 eV/cell; formation enthalpy at 0 K = 10.5 kJ/mol of atoms; crystal system = monoclinic
1.0
9.2710 -2.1138 -2.1936
0.8292 8.6027 -1.8641
0.8292 -2.1817 8.5277
Pm Pr Mg Nd
12 4 2 2
Direct
0.6121 0.4926 0.7008
0.3879 0.5074 0.2992
0.3073 0.9968 0.4297
0.6927 0.0032 0.5703
0.8879 0.2992 0.5074
0.1927 0.5703 0.0032
0.4474 0.2491 0.8791
0.0526 0.1209 0.7509
0.9474 0.8791 0.2491
0.8073 0.4297 0.9968
0.1121 0.7008 0.4926
0.5526 0.7509 0.1209
0.4483 0.7954 0.7002
0.9483 0.7002 0.7954
0.5517 0.2046 0.2998
0.0517 0.2998 0.2046
0.2500 0.4063 0.5937
0.7500 0.5937 0.4063
0.7500 0.0170 0.9830
0.2500 0.9830 0.0170

***

PBE Pm2Pr2Nd2Mg, relaxed; total DFT energy (no corrections) = -29.7 eV/cell; formation enthalpy at 0 K = 7.4 kJ/mol of atoms; crystal system = monoclinic
1.0
-0.1329 -2.0654 3.1336
-4.2458 -2.5775 -4.1292
11.3702 -2.9514 -1.4631
Pr Pm Mg Nd
2 2 1 2
Direct
0.4698 0.9396 0.2552
0.5302 0.0604 0.7448
0.7465 0.4931 0.6254
0.2535 0.5069 0.3746
0.0000 0.0000 0.5000
0.3212 0.6425 0.9132
0.6788 0.3575 0.0868

***

PBE PmPr2Nd6Mg, relaxed; total DFT energy (no corrections) = -86.9 eV/cell; formation enthalpy at 0 K = 10.0 kJ/mol of atoms; crystal system = monoclinic
1.0
-1.8941 8.4116 -3.5696
-7.9137 -0.1108 4.5935
7.4139 3.2139 4.2947
Nd Mg Pr Pm
12 2 4 2
Direct
0.5554 0.7836 0.1411
0.7924 0.4266 0.0046
0.2076 0.5734 0.9954
0.9446 0.8589 0.2164
0.9002 0.2726 0.5031
0.5998 0.4969 0.7274
0.7076 0.9954 0.5734
0.4002 0.5031 0.2726
0.4446 0.2164 0.8589
0.2924 0.0046 0.4266
0.0998 0.7274 0.4969
0.0554 0.1411 0.7836
0.2500 0.4215 0.5785
0.7500 0.5785 0.4215
0.9486 0.6739 0.7849
0.5514 0.2151 0.3261
0.4486 0.7849 0.6739
0.0514 0.3261 0.2151
0.2500 0.9759 0.0241
0.7500 0.0241 0.9759

***

PBE Pm2PrNdMg, relaxed; total DFT energy (no corrections) = -41.3 eV/cell; formation enthalpy at 0 K = -0.2 kJ/mol of atoms; crystal system = monoclinic
1.0
-3.3044 -0.7913 -4.5142
-3.1477 -5.0436 3.1881
-3.5654 9.1666 1.0032
Pm Mg Pr Nd
4 2 2 2
Direct
0.7500 0.8581 0.5095
0.7500 0.1141 0.9388
0.2500 0.1419 0.4905
0.2500 0.8859 0.0612
0.7500 0.6728 0.1330
0.2500 0.3272 0.8670
0.7500 0.4960 0.7547
0.2500 0.5040 0.2453
0.2500 0.7699 0.6737
0.7500 0.2301 0.3263

***

PBE Pm4PrNd2Mg, relaxed; total DFT energy (no corrections) = -64.8 eV/cell; formation enthalpy at 0 K = 30.5 kJ/mol of atoms; crystal system = orthorhombic
1.0
9.4250 -0.0450 -1.7885
-0.0516 9.4249 -1.7885
-5.9218 -5.9260 8.4300
Pm Nd Mg Pr
8 4 2 2
Direct
0.2504 0.2499 0.0140
0.2501 0.2496 0.4860
0.2642 0.7365 0.5003
0.7496 0.7501 0.9860
0.7358 0.2635 0.4997
0.7499 0.7504 0.5140
0.2365 0.7642 0.0003
0.7635 0.2358 0.9997
0.5000 0.0000 0.5000
0.5000 0.5000 0.0000
0.5000 0.0000 0.0000
0.0000 0.0000 0.5000
0.5000 0.5000 0.5000
0.0000 0.0000 0.0000
0.0000 0.5000 0.5000
0.0000 0.5000 0.0000

***

PBE Pm2PrNd6Mg, relaxed; total DFT energy (no corrections) = -86.9 eV/cell; formation enthalpy at 0 K = 10.2 kJ/mol of atoms; crystal system = monoclinic
1.0
-2.8421 4.0433 7.8768
-7.3782 3.0287 -4.4527
-0.4407 -8.2713 3.8510
Pr Mg Nd Pm
2 2 12 4
Direct
0.7500 0.0258 0.9742
0.2500 0.9742 0.0258
0.7500 0.5767 0.4233
0.2500 0.4233 0.5767
0.7929 0.4299 0.0068
0.4015 0.5048 0.2731
0.0985 0.7269 0.4952
0.9443 0.8596 0.2152
0.9015 0.2731 0.5048
0.5985 0.4952 0.7269
0.4443 0.2152 0.8596
0.2071 0.5701 0.9932
0.0557 0.1404 0.7848
0.7071 0.9932 0.5701
0.2929 0.0068 0.4299
0.5557 0.7848 0.1404
0.0533 0.3275 0.2155
0.5533 0.2155 0.3275
0.4467 0.7845 0.6725
0.9467 0.6725 0.7845

***

PBE PmPr5Nd2Mg, relaxed; total DFT energy (no corrections) = -78.1 eV/cell; formation enthalpy at 0 K = 7.9 kJ/mol of atoms; crystal system = orthorhombic
1.0
5.6537 0.0000 0.0000
-2.8269 10.2311 0.0000
0.0000 0.0000 10.9339
Pr Mg Nd Pm
10 2 4 2
Direct
0.6205 0.2410 0.5083
0.7122 0.4244 0.2060
0.4998 0.9996 0.7583
0.3795 0.7590 0.0083
0.2881 0.5761 0.3100
0.7119 0.4239 0.8100
0.2878 0.5756 0.7060
0.0135 0.0270 0.0083
0.5002 0.0004 0.2583
0.9865 0.9730 0.5083
0.5948 0.1895 0.0083
0.4052 0.8105 0.5083
0.8850 0.7699 0.7979
0.1150 0.2301 0.2979
0.1147 0.2294 0.7188
0.8853 0.7706 0.2188
0.8020 0.6040 0.5081
0.1980 0.3960 0.0081

***

PBE Pm4Pr2Nd2Mg, relaxed; total DFT energy (no corrections) = -39.0 eV/cell; formation enthalpy at 0 K = 7.9 kJ/mol of atoms; crystal system = triclinic
1.0
-6.9402 2.7640 1.8034
-2.2371 -7.9523 3.5291
8.0593 3.1812 0.8399
Nd Pm Mg Pr
2 4 1 2
Direct
0.8158 0.3298 0.1244
0.1842 0.6702 0.8756
0.0991 0.1768 0.5047
0.5953 0.6299 0.8123
0.4047 0.3701 0.1877
0.9009 0.8232 0.4953
0.0000 0.0000 0.0000
0.6895 0.2083 0.5792
0.3105 0.7917 0.4208

***

PBE PmPr6Nd2Mg, relaxed; total DFT energy (no corrections) = -87.2 eV/cell; formation enthalpy at 0 K = 9.3 kJ/mol of atoms; crystal system = monoclinic
1.0
-7.8806 -0.8328 -5.4804
5.7359 -2.0868 -6.2640
-1.2482 -7.3467 4.5782
Pr Nd Pm Mg
12 4 2 2
Direct
0.1736 0.5377 0.9673
0.9046 0.3293 0.5656
0.8264 0.4623 0.0327
0.0954 0.6707 0.4344
0.0752 0.0792 0.7373
0.9248 0.9208 0.2627
0.5954 0.4344 0.6707
0.5752 0.7373 0.0792
0.4248 0.2627 0.9208
0.4046 0.5656 0.3293
0.3264 0.0327 0.4623
0.6736 0.9673 0.5377
0.0927 0.2673 0.2028
0.9073 0.7327 0.7972
0.5927 0.2028 0.2673
0.4073 0.7972 0.7327
0.2500 0.9352 0.0648
0.7500 0.0648 0.9352
0.7500 0.5991 0.4009
0.2500 0.4009 0.5991

***

PBE Pm2Pr4Nd2Mg, relaxed; total DFT energy (no corrections) = -39.6 eV/cell; formation enthalpy at 0 K = 1.2 kJ/mol of atoms; crystal system = triclinic
1.0
6.0864 0.7245 1.5001
-0.3213 7.8574 2.0180
-2.0300 -3.0853 5.1376
Pr Nd Mg Pm
4 2 1 2
Direct
0.6720 0.6645 0.6637
0.3280 0.3355 0.3363
0.5503 0.8909 0.2193
0.4497 0.1091 0.7807
0.7776 0.4381 0.1114
0.2224 0.5619 0.8886
0.0000 0.0000 0.0000
0.1082 0.7831 0.4428
0.8918 0.2169 0.5572

***

PBE Pm2Pr6Nd2Mg, relaxed; total DFT energy (no corrections) = -47.5 eV/cell; formation enthalpy at 0 K = 16.3 kJ/mol of atoms; crystal system = monoclinic
1.0
6.2170 0.0518 0.0884
-3.0278 5.4302 0.0884
-1.0138 -1.7426 11.6508
Pr Pm Nd Mg
6 2 2 1
Direct
0.9239 0.5989 0.2515
0.5989 0.9239 0.2515
0.7420 0.7420 0.7549
0.2580 0.2580 0.2451
0.4011 0.0761 0.7485
0.0761 0.4011 0.7485
0.6666 0.3334 0.5000
0.3334 0.6666 0.5000
0.8249 0.1751 0.0000
0.1751 0.8249 0.0000
0.0000 0.0000 0.5000

***

PBE PmPrNdMg, relaxed; total DFT energy (no corrections) = -16.0 eV/cell; formation enthalpy at 0 K = -3.7 kJ/mol of atoms; relative energy among the computed polymorphs = 0.0000 eV per atom; crystal system = tetragonal
1.0
3.7282 0.0000 0.0000
0.0000 3.7282 0.0000
0.0000 0.0000 9.3578
Mg Nd Pr Pm
1 1 1 1
Direct
0.0000 0.0000 0.5731
0.5000 0.5000 0.8015
0.5000 0.5000 0.3407
0.0000 0.0000 0.0694

***

PBE PmPrNdMg, relaxed; total DFT energy (no corrections) = -15.7 eV/cell; formation enthalpy at 0 K = 4.5 kJ/mol of atoms; relative energy among the computed polymorphs = 0.0852 eV per atom; crystal system = cubic
1.0
-2.7680 -4.0930 -2.7946
1.1494 -0.9774 -5.4725
2.7269 -4.7394 -1.5250
Nd Pm Pr Mg
1 1 1 1
Direct
0.7500 0.7500 0.7500
0.5000 0.5000 0.5000
0.2500 0.2500 0.2500
0.0000 0.0000 0.0000

***

PBE PmPrNd2Mg, relaxed; total DFT energy (no corrections) = -39.9 eV/cell; formation enthalpy at 0 K = 13.8 kJ/mol of atoms; crystal system = orthorhombic
1.0
-5.6118 4.7315 -1.2421
-1.0458 0.6656 7.2601
3.9246 4.6902 0.1353
Mg Nd Pm Pr
2 4 2 2
Direct
0.0000 0.0000 0.5000
0.0000 0.0000 0.0000
0.3147 0.2808 0.2500
0.6853 0.7192 0.7500
0.6853 0.2808 0.7500
0.3147 0.7192 0.2500
0.3691 0.0000 0.7500
0.6309 0.0000 0.2500
0.8416 0.5000 0.2500
0.1584 0.5000 0.7500

***

PBE PmPr2NdMg, relaxed; total DFT energy (no corrections) = -39.9 eV/cell; formation enthalpy at 0 K = 13.8 kJ/mol of atoms; crystal system = orthorhombic
1.0
7.4342 0.0000 0.0000
0.0000 7.2622 1.4324
0.0000 -1.1868 6.0164
Mg Pr Pm Nd
2 4 2 2
Direct
0.0000 0.0000 0.5000
0.0000 0.0000 0.0000
0.6866 0.7177 0.7500
0.3134 0.2823 0.2500
0.3134 0.7177 0.2500
0.6866 0.2823 0.7500
0.1518 0.5000 0.7500
0.8482 0.5000 0.2500
0.3707 0.0000 0.7500
0.6293 0.0000 0.2500

***

PBE PmNdMgPt, relaxed; total DFT energy (no corrections) = -19.1 eV/cell; formation enthalpy at 0 K = -48.0 kJ/mol of atoms; crystal system = cubic
1.0
5.2378 0.0000 0.0000
2.6189 4.5361 0.0000
2.6189 1.5120 4.2766
Pt Mg Nd Pm
1 1 1 1
Direct
0.7500 0.7500 0.7500
0.2500 0.2500 0.2500
0.5000 0.5000 0.5000
0.0000 0.0000 0.0000

***

PBE PmNdMgRh, relaxed; total DFT energy (no corrections) = -19.7 eV/cell; formation enthalpy at 0 K = -29.5 kJ/mol of atoms; crystal system = cubic
1.0
-1.0475 0.5942 5.0602
0.4784 -4.0359 3.2464
3.8616 -0.0921 3.4836
Rh Mg Nd Pm
1 1 1 1
Direct
0.5000 0.5000 0.5000
0.0000 0.0000 0.0000
0.7500 0.7500 0.7500
0.2500 0.2500 0.2500

***

PBE Pm2Nd4MgSc, relaxed; total DFT energy (no corrections) = -36.4 eV/cell; formation enthalpy at 0 K = 1.7 kJ/mol of atoms; crystal system = tetragonal
1.0
-3.4466 0.0992 3.6823
0.4152 -4.9942 0.5232
7.7023 -3.6828 7.3086
Nd Pm Mg Sc
4 2 1 1
Direct
0.0000 0.2480 0.2517
0.5000 0.2523 0.7480
0.5000 0.7477 0.2520
0.0000 0.7520 0.7483
0.5000 0.0000 0.5000
0.0000 0.0000 0.0000
0.5000 0.5000 0.0000
0.0000 0.5000 0.5000

***

PBE Pm3Nd3MgSe8, relaxed; total DFT energy (no corrections) = -84.9 eV/cell; crystal system = trigonal
1.0
-6.7078 -4.7878 -1.4491
7.5955 -2.6227 -2.3340
-1.9944 0.3311 8.1374
Se Pm Nd Mg
8 3 3 1
Direct
0.2388 0.9983 0.7371
0.7594 0.9983 0.7371
0.2406 0.0017 0.2629
0.2388 0.4776 0.7371
0.7612 0.5224 0.2629
0.7491 0.4981 0.7472
0.2509 0.5019 0.2528
0.7612 0.0017 0.2629
0.5000 0.5000 0.5000
0.5000 0.0000 0.5000
0.0000 0.5000 0.5000
0.5000 0.5000 0.0000
0.0000 0.5000 0.0000
0.0000 0.0000 0.0000
0.0000 0.0000 0.5000

***

PBE PmNdSmMg, relaxed; total DFT energy (no corrections) = -16.0 eV/cell; formation enthalpy at 0 K = -3.5 kJ/mol of atoms; relative energy among the computed polymorphs = 0.0000 eV per atom; crystal system = tetragonal
1.0
3.6977 0.0000 0.0000
0.0000 3.6977 0.0000
0.0000 0.0000 9.3124
Mg Sm Pm Nd
1 1 1 1
Direct
0.0000 0.0000 0.5741
0.5000 0.5000 0.8011
0.0000 0.0000 0.0686
0.5000 0.5000 0.3408

***

PBE Pm2Nd2Sm4Mg, relaxed; total DFT energy (no corrections) = -38.7 eV/cell; formation enthalpy at 0 K = 8.3 kJ/mol of atoms; crystal system = triclinic
1.0
-1.3742 -7.0631 -2.5367
7.3484 -2.8945 4.1395
-5.7797 2.1950 2.1841
Nd Sm Pm Mg
2 4 2 1
Direct
0.2185 0.6297 0.8150
0.7815 0.3703 0.1850
0.4044 0.1748 0.5018
0.5956 0.8252 0.4982
0.6944 0.6683 0.8760
0.3056 0.3317 0.1240
0.8902 0.2071 0.5768
0.1098 0.7929 0.4232
0.0000 0.0000 0.0000